# RbBeV2Br, relaxed, DFT GGA-PBE
# Final energy, eV/atom: -3.5473
# ρ, g/cm³: 2.95
# Total magnetization, μB per cell: 7.92
data_RbBeV2Br
_cell_length_a 4.9784
_cell_length_b 4.9784
_cell_length_c 6.2706
_cell_angle_alpha 90.00
_cell_angle_beta 90.00
_cell_angle_gamma 90.00
_symmetry_space_group_name_H-M 'P 4/m m m'
_symmetry_Int_Tables_number 123
_symmetry_space_group_name_Hall '-P 4 2'
loop_
_atom_site_label
_atom_site_fract_x
_atom_site_fract_y
_atom_site_fract_z
Rb1 0.0000 0.0000 0.0000
Be1 0.5000 0.5000 0.0000
V1 0.0000 0.5000 0.5000
Br1 0.0000 0.0000 0.5000

=====

# Rb2YBeBr6, relaxed, DFT GGA-PBE
# Final energy, eV/atom: -3.5379
# ρ, g/cm³: 3.69
# Total magnetization, μB per cell: 1.99
data_Rb2YBeBr6
_cell_length_a 7.8027
_cell_length_b 7.8027
_cell_length_c 11.0629
_cell_angle_alpha 90.00
_cell_angle_beta 90.00
_cell_angle_gamma 90.00
_symmetry_space_group_name_H-M 'I 4/m m m'
_symmetry_Int_Tables_number 139
_symmetry_space_group_name_Hall '-I 4 2'
loop_
_atom_site_label
_atom_site_fract_x
_atom_site_fract_y
_atom_site_fract_z
Rb1 0.0000 0.5000 0.2500
Y1 0.0000 0.0000 0.0000
Be1 0.0000 0.0000 0.5000
Br1 0.0000 0.0000 0.2548
Br2 0.2445 0.2445 0.5000

=====

# BeRe2Br, relaxed, DFT GGA-PBE
# ΔE to the lowest computed polymorph, meV/atom: 548
# Final energy, eV/atom: -6.7136
# ρ, g/cm³: 11.47
# Total magnetization, μB per cell: 0.00
data_BeRe2Br
_cell_length_a 7.7018
_cell_length_b 3.0704
_cell_length_c 5.7727
_cell_angle_alpha 90.00
_cell_angle_beta 101.91
_cell_angle_gamma 90.00
_symmetry_space_group_name_H-M 'C 1 2/m 1'
_symmetry_Int_Tables_number 12
_symmetry_space_group_name_Hall '-C 2y'
loop_
_atom_site_label
_atom_site_fract_x
_atom_site_fract_y
_atom_site_fract_z
Be1 0.0000 0.0000 0.0000
Re1 0.2464 0.5000 0.1632
Br1 0.0000 0.5000 0.5000

=====

# BeRe2Br, relaxed, DFT GGA-PBE
# ΔE to the lowest computed polymorph, meV/atom: 731
# Final energy, eV/atom: -6.5308
# ρ, g/cm³: 13.17
# Total magnetization, μB per cell: 0.00
data_BeRe2Br
_cell_length_a 2.9700
_cell_length_b 4.4432
_cell_length_c 8.8166
_cell_angle_alpha 90.00
_cell_angle_beta 90.00
_cell_angle_gamma 90.00
_symmetry_space_group_name_H-M 'I m m 2'
_symmetry_Int_Tables_number 44
_symmetry_space_group_name_Hall 'I 2 -2'
loop_
_atom_site_label
_atom_site_fract_x
_atom_site_fract_y
_atom_site_fract_z
Be1 0.0000 0.0000 0.0000
Re1 0.0000 0.0000 0.5193
Re2 0.0000 0.5000 0.2830
Br1 0.0000 0.5000 0.7726

=====

# BeRe4Br, relaxed, DFT GGA-PBE
# Final energy, eV/atom: -7.9069
# ρ, g/cm³: 13.67
# Total magnetization, μB per cell: 0.02
data_BeRe4Br
_cell_length_a 7.3985
_cell_length_b 7.3985
_cell_length_c 7.3985
_cell_angle_alpha 90.00
_cell_angle_beta 90.00
_cell_angle_gamma 90.00
_symmetry_space_group_name_H-M 'F -4 3 m'
_symmetry_Int_Tables_number 216
_symmetry_space_group_name_Hall 'F -4 2 3'
loop_
_atom_site_label
_atom_site_fract_x
_atom_site_fract_y
_atom_site_fract_z
Be1 0.0000 0.0000 0.0000
Re1 0.1248 0.1248 0.6248
Br1 0.2500 0.2500 0.2500

=====

# BeRe2Br, relaxed, DFT GGA-PBE
# ΔE to the lowest computed polymorph, meV/atom: 791
# Final energy, eV/atom: -6.4703
# ρ, g/cm³: 11.36
# Total magnetization, μB per cell: 0.00
data_BeRe2Br
_cell_length_a 4.0197
_cell_length_b 4.0197
_cell_length_c 16.6887
_cell_angle_alpha 90.00
_cell_angle_beta 90.00
_cell_angle_gamma 90.00
_symmetry_space_group_name_H-M 'I -4 2 d'
_symmetry_Int_Tables_number 122
_symmetry_space_group_name_Hall 'I -4 2bw'
loop_
_atom_site_label
_atom_site_fract_x
_atom_site_fract_y
_atom_site_fract_z
Be1 0.0000 0.0000 0.0000
Re1 0.1771 0.2500 0.1250
Br1 0.0000 0.0000 0.5000

=====

# BeRe2Br, relaxed, DFT GGA-PBE
# ΔE to the lowest computed polymorph, meV/atom: 478
# Final energy, eV/atom: -6.7841
# ρ, g/cm³: 9.38
# Total magnetization, μB per cell: 0.00
data_BeRe2Br
_cell_length_a 3.5114
_cell_length_b 3.9653
_cell_length_c 6.0062
_cell_angle_alpha 90.00
_cell_angle_beta 102.53
_cell_angle_gamma 90.00
_symmetry_space_group_name_H-M 'P 1 2/m 1'
_symmetry_Int_Tables_number 10
_symmetry_space_group_name_Hall '-P 2y'
loop_
_atom_site_label
_atom_site_fract_x
_atom_site_fract_y
_atom_site_fract_z
Be1 0.0000 0.0000 0.0000
Re1 0.3045 0.5000 0.1328
Br1 0.5000 0.0000 0.5000

=====

# BeRe2Br, relaxed, DFT GGA-PBE
# ΔE to the lowest computed polymorph, meV/atom: 359
# Final energy, eV/atom: -6.9031
# ρ, g/cm³: 12.07
# Total magnetization, μB per cell: 0.00
data_BeRe2Br
_cell_length_a 3.0616
_cell_length_b 3.0616
_cell_length_c 6.7725
_cell_angle_alpha 90.00
_cell_angle_beta 90.00
_cell_angle_gamma 90.00
_symmetry_space_group_name_H-M 'P 4/m m m'
_symmetry_Int_Tables_number 123
_symmetry_space_group_name_Hall '-P 4 2'
loop_
_atom_site_label
_atom_site_fract_x
_atom_site_fract_y
_atom_site_fract_z
Be1 0.0000 0.0000 0.0000
Re1 0.5000 0.5000 0.1688
Br1 0.0000 0.0000 0.5000

=====

# BeRe2Br, relaxed, DFT GGA-PBE
# ΔE to the lowest computed polymorph, meV/atom: 859
# Final energy, eV/atom: -6.4027
# ρ, g/cm³: 13.97
# Total magnetization, μB per cell: 0.00
data_BeRe2Br
_cell_length_a 6.0302
_cell_length_b 6.0302
_cell_length_c 6.0302
_cell_angle_alpha 90.00
_cell_angle_beta 90.00
_cell_angle_gamma 90.00
_symmetry_space_group_name_H-M 'F m -3 m'
_symmetry_Int_Tables_number 225
_symmetry_space_group_name_Hall '-F 4 2 3'
loop_
_atom_site_label
_atom_site_fract_x
_atom_site_fract_y
_atom_site_fract_z
Be1 0.0000 0.0000 0.0000
Re1 0.2500 0.2500 0.2500
Br1 0.0000 0.0000 0.5000

=====

# BeRe2Br, relaxed, DFT GGA-PBE
# ΔE to the lowest computed polymorph, meV/atom: 0
# Final energy, eV/atom: -7.2618
# ρ, g/cm³: 10.18
# Total magnetization, μB per cell: 0.00
data_BeRe2Br
_cell_length_a 3.0362
_cell_length_b 3.0347
_cell_length_c 8.2783
_cell_angle_alpha 90.00
_cell_angle_beta 99.54
_cell_angle_gamma 90.00
_symmetry_space_group_name_H-M 'P 1 m 1'
_symmetry_Int_Tables_number 6
_symmetry_space_group_name_Hall 'P -2y'
loop_
_atom_site_label
_atom_site_fract_x
_atom_site_fract_y
_atom_site_fract_z
Be1 0.0000 0.0000 0.0000
Re1 0.1452 0.0000 0.3214
Re2 0.5608 0.5000 0.1345
Br1 0.2607 0.5000 0.5759

=====

# Be3ReBr, relaxed, DFT GGA-PBE
# Final energy, eV/atom: -3.2891
# ρ, g/cm³: 6.80
# Total magnetization, μB per cell: 0.00
data_Be3ReBr
_cell_length_a 4.1516
_cell_length_b 4.1516
_cell_length_c 4.1516
_cell_angle_alpha 90.00
_cell_angle_beta 90.00
_cell_angle_gamma 90.00
_symmetry_space_group_name_H-M 'P m -3 m'
_symmetry_Int_Tables_number 221
_symmetry_space_group_name_Hall '-P 4 2 3'
loop_
_atom_site_label
_atom_site_fract_x
_atom_site_fract_y
_atom_site_fract_z
Be1 0.0000 0.0000 0.5000
Re1 0.5000 0.5000 0.5000
Br1 0.0000 0.0000 0.0000

=====

# BeRe2Br, relaxed, DFT GGA-PBE
# ΔE to the lowest computed polymorph, meV/atom: 769
# Final energy, eV/atom: -6.4924
# ρ, g/cm³: 12.15
# Total magnetization, μB per cell: 0.00
data_BeRe2Br
_cell_length_a 5.2008
_cell_length_b 9.6134
_cell_length_c 3.1227
_cell_angle_alpha 90.00
_cell_angle_beta 126.15
_cell_angle_gamma 90.00
_symmetry_space_group_name_H-M 'C 1 2/m 1'
_symmetry_Int_Tables_number 12
_symmetry_space_group_name_Hall '-C 2y'
loop_
_atom_site_label
_atom_site_fract_x
_atom_site_fract_y
_atom_site_fract_z
Be1 0.0000 0.0000 0.0000
Re1 0.2500 0.2500 0.5000
Br1 0.0000 0.5000 0.0000

=====

# BeReBr4, relaxed, DFT GGA-PBE
# Final energy, eV/atom: -2.0012
# ρ, g/cm³: 4.86
# Total magnetization, μB per cell: 16.13
data_BeReBr4
_cell_length_a 8.8935
_cell_length_b 8.8935
_cell_length_c 8.8935
_cell_angle_alpha 90.00
_cell_angle_beta 90.00
_cell_angle_gamma 90.00
_symmetry_space_group_name_H-M 'F -4 3 m'
_symmetry_Int_Tables_number 216
_symmetry_space_group_name_Hall 'F -4 2 3'
loop_
_atom_site_label
_atom_site_fract_x
_atom_site_fract_y
_atom_site_fract_z
Be1 0.0000 0.0000 0.0000
Re1 0.2500 0.2500 0.2500
Br1 0.1252 0.1252 0.6252

=====

# BeRe2Br, relaxed, DFT GGA-PBE
# ΔE to the lowest computed polymorph, meV/atom: 484
# Final energy, eV/atom: -6.7782
# ρ, g/cm³: 12.52
# Total magnetization, μB per cell: 0.00
data_BeRe2Br
_cell_length_a 3.2633
_cell_length_b 3.2633
_cell_length_c 19.9058
_cell_angle_alpha 90.00
_cell_angle_beta 90.00
_cell_angle_gamma 120.00
_symmetry_space_group_name_H-M 'R -3 m'
_symmetry_Int_Tables_number 166
_symmetry_space_group_name_Hall '-R 3 2"'
loop_
_atom_site_label
_atom_site_fract_x
_atom_site_fract_y
_atom_site_fract_z
Be1 0.0000 0.0000 0.0000
Re1 0.0000 0.0000 0.2787
Br1 0.0000 0.0000 0.5000

=====

# BeRe2Br, relaxed, DFT GGA-PBE
# ΔE to the lowest computed polymorph, meV/atom: 798
# Final energy, eV/atom: -6.4641
# ρ, g/cm³: 12.96
# Total magnetization, μB per cell: 0.00
data_BeRe2Br
_cell_length_a 4.0460
_cell_length_b 4.0460
_cell_length_c 7.2237
_cell_angle_alpha 90.00
_cell_angle_beta 90.00
_cell_angle_gamma 90.00
_symmetry_space_group_name_H-M 'I -4 m 2'
_symmetry_Int_Tables_number 119
_symmetry_space_group_name_Hall 'I -4 -2'
loop_
_atom_site_label
_atom_site_fract_x
_atom_site_fract_y
_atom_site_fract_z
Be1 0.0000 0.0000 0.0000
Re1 0.0000 0.0000 0.5000
Re2 0.0000 0.5000 0.2500
Br1 0.0000 0.5000 0.7500

=====

# BeRe2Br, relaxed, DFT GGA-PBE
# ΔE to the lowest computed polymorph, meV/atom: 389
# Final energy, eV/atom: -6.8725
# ρ, g/cm³: 11.31
# Total magnetization, μB per cell: 0.00
data_BeRe2Br
_cell_length_a 2.9757
_cell_length_b 4.8729
_cell_length_c 9.3459
_cell_angle_alpha 90.00
_cell_angle_beta 90.00
_cell_angle_gamma 90.00
_symmetry_space_group_name_H-M 'C m m 2'
_symmetry_Int_Tables_number 35
_symmetry_space_group_name_Hall 'C 2 -2'
loop_
_atom_site_label
_atom_site_fract_x
_atom_site_fract_y
_atom_site_fract_z
Be1 0.0000 0.0000 0.0000
Re1 0.0000 0.0000 0.5654
Re2 0.0000 0.5000 0.7916
Br1 0.0000 0.5000 0.1737

=====

# BeRe2Br, relaxed, DFT GGA-PBE
# ΔE to the lowest computed polymorph, meV/atom: 420
# Final energy, eV/atom: -6.8419
# ρ, g/cm³: 12.63
# Total magnetization, μB per cell: 0.00
data_BeRe2Br
_cell_length_a 2.9069
_cell_length_b 3.7915
_cell_length_c 11.0057
_cell_angle_alpha 90.00
_cell_angle_beta 90.00
_cell_angle_gamma 90.00
_symmetry_space_group_name_H-M 'I m m m'
_symmetry_Int_Tables_number 71
_symmetry_space_group_name_Hall '-I 2 2'
loop_
_atom_site_label
_atom_site_fract_x
_atom_site_fract_y
_atom_site_fract_z
Be1 0.0000 0.0000 0.0000
Re1 0.0000 0.5000 0.3039
Br1 0.0000 0.0000 0.5000

=====

# BeRe2Br, relaxed, DFT GGA-PBE
# ΔE to the lowest computed polymorph, meV/atom: 617
# Final energy, eV/atom: -6.6451
# ρ, g/cm³: 10.03
# Total magnetization, μB per cell: 0.00
data_BeRe2Br
_cell_length_a 3.3700
_cell_length_b 4.2181
_cell_length_c 10.7478
_cell_angle_alpha 90.00
_cell_angle_beta 90.00
_cell_angle_gamma 90.00
_symmetry_space_group_name_H-M 'C m m m'
_symmetry_Int_Tables_number 65
_symmetry_space_group_name_Hall '-C 2 2'
loop_
_atom_site_label
_atom_site_fract_x
_atom_site_fract_y
_atom_site_fract_z
Be1 0.0000 0.0000 0.0000
Re1 0.0000 0.5000 0.1386
Br1 0.0000 0.0000 0.5000

=====

# BeRe2Br, relaxed, DFT GGA-PBE
# ΔE to the lowest computed polymorph, meV/atom: 785
# Final energy, eV/atom: -6.4772
# ρ, g/cm³: 12.56
# Total magnetization, μB per cell: 0.00
data_BeRe2Br
_cell_length_a 2.8369
_cell_length_b 4.5785
_cell_length_c 4.6942
_cell_angle_alpha 90.00
_cell_angle_beta 90.00
_cell_angle_gamma 90.00
_symmetry_space_group_name_H-M 'P m m m'
_symmetry_Int_Tables_number 47
_symmetry_space_group_name_Hall '-P 2 2'
loop_
_atom_site_label
_atom_site_fract_x
_atom_site_fract_y
_atom_site_fract_z
Be1 0.0000 0.0000 0.0000
Re1 0.0000 0.5000 0.5000
Re2 0.5000 0.5000 0.0000
Br1 0.5000 0.0000 0.5000

=====

# BeRe2Br, relaxed, DFT GGA-PBE
# ΔE to the lowest computed polymorph, meV/atom: 866
# Final energy, eV/atom: -6.3959
# ρ, g/cm³: 13.83
# Total magnetization, μB per cell: 0.00
data_BeRe2Br
_cell_length_a 4.3039
_cell_length_b 4.3039
_cell_length_c 2.9905
_cell_angle_alpha 90.00
_cell_angle_beta 90.00
_cell_angle_gamma 90.00
_symmetry_space_group_name_H-M 'P 4/m m m'
_symmetry_Int_Tables_number 123
_symmetry_space_group_name_Hall '-P 4 2'
loop_
_atom_site_label
_atom_site_fract_x
_atom_site_fract_y
_atom_site_fract_z
Be1 0.0000 0.0000 0.0000
Re1 0.0000 0.5000 0.5000
Br1 0.5000 0.5000 0.0000